No. 1
Compound: LiTm4Cd
Source: Alexandria via LeMat-Bulk
Functional: PBE
Structure: relaxed

Properties
Space group: P4/mmm, No. 123
Formation energy in eV/atom: 0.31
Calculated volume in Å³ per cell: 182.1

abc: 5.027 5.027 7.203
angles: 89.98 89.99 90.00
Sites, in units of the cell vectors:
Cd 0.501 0.497 0.998
Tm 0.001 0.497 0.750
Tm 0.501 0.997 0.246
Tm 0.001 0.497 0.246
Tm 0.501 0.997 0.750
Li 0.001 0.997 0.498



No. 2
Compound: Sr2Ca2Rh
Source: Alexandria via LeMat-Bulk
Functional: PBE
Structure: relaxed

Properties
Space group: P4/mbm, No. 127
Formation energy in eV/atom: 0.04
Calculated volume in Å³ per cell: 364.5

abc: 7.541 7.541 6.411
angles: 90.00 90.00 90.00
Sites, in units of the cell vectors:
Ca 0.669 0.169 0.000
Ca 0.169 0.331 0.000
Ca 0.831 0.669 0.000
Ca 0.331 0.831 0.000
Sr 0.316 0.184 0.500
Sr 0.816 0.316 0.500
Sr 0.684 0.816 0.500
Sr 0.184 0.684 0.500
Rh 0.000 0.000 0.000
Rh 0.500 0.500 0.000



No. 3
Compound: La5Si2Br
Source: Alexandria via LeMat-Bulk
Functional: PBE
Structure: relaxed

Properties
Formation energy from raw total energies in kJ/mol of formula units: -507
Space group: I4/mcm, No. 140
Calculated volume in Å³ per cell: 462.8

abc: 7.924 7.924 9.258
angles: 115.34 115.34 90.00
Sites, in units of the cell vectors:
Si 0.622 0.122 0.000
Si 0.878 0.622 0.000
Si 0.122 0.378 0.000
Si 0.378 0.878 0.000
La 0.000 0.000 0.000
La 0.472 0.306 0.277
La 0.306 0.806 0.277
La 0.694 0.194 0.723
La 0.194 0.028 0.723
La 0.972 0.472 0.277
La 0.500 0.500 0.000
La 0.528 0.694 0.723
La 0.028 0.528 0.723
La 0.806 0.972 0.277
Br 0.250 0.250 0.500
Br 0.750 0.750 0.500



No. 4
Compound: Zn8AgAu2
Source: Alexandria via LeMat-Bulk
Functional: PBE
Structure: relaxed

Properties
Space group: Immm, No. 71
Formation energy in eV/atom: -0.10
Calculated volume in Å³ per cell: 179.7
ΔE to the lowest computed polymorph in meV per atom: 0

abc: 4.131 7.751 7.126
angles: 122.94 106.85 90.00
Sites, in units of the cell vectors:
Zn 0.154 0.154 0.307
Zn 0.346 0.124 0.692
Zn 0.654 0.432 0.308
Zn 0.000 0.710 0.000
Zn 0.000 0.290 0.000
Zn 0.346 0.568 0.692
Zn 0.846 0.846 0.693
Zn 0.654 0.876 0.308
Au 0.190 0.690 0.381
Au 0.810 0.310 0.619
Ag 0.500 0.000 0.000



No. 5
Compound: Cu3H4Ir
Source: Alexandria via LeMat-Bulk
Functional: PBE
Structure: relaxed

Properties
Space group: Pmn2_1, No. 31
Calculated volume in Å³ per cell: 125.6
Total DFT energy (no corrections) in eV for the cell shown: -67.45

abc: 3.849 3.963 8.233
angles: 90.00 90.00 90.00
Sites, in units of the cell vectors:
H 0.062 0.790 0.000
H 0.565 0.750 0.287
H 0.562 0.210 0.500
H 0.079 0.766 0.500
H 0.579 0.234 0.000
H 0.565 0.750 0.713
H 0.065 0.250 0.213
H 0.065 0.250 0.787
Cu 0.562 0.256 0.251
Cu 0.062 0.744 0.751
Cu 0.062 0.744 0.249
Cu 0.060 0.267 0.500
Cu 0.562 0.256 0.749
Cu 0.560 0.733 0.000
Ir 0.060 0.235 0.000
Ir 0.560 0.765 0.500



No. 6
Compound: AlCd2Au8
Source: Alexandria via LeMat-Bulk
Functional: PBE
Structure: relaxed

Properties
Space group: C2/m, No. 12
Formation energy in eV/atom: -0.14
Calculated volume in Å³ per cell: 209.1
ΔE to the lowest computed polymorph in meV per atom: 0

abc: 4.594 7.846 7.657
angles: 125.43 107.46 90.00
Sites, in units of the cell vectors:
Al 0.500 0.000 0.000
Au 0.049 0.222 0.097
Au 0.804 0.917 0.607
Au 0.427 0.235 0.853
Au 0.951 0.778 0.903
Au 0.573 0.765 0.147
Au 0.680 0.454 0.360
Au 0.320 0.546 0.640
Au 0.196 0.083 0.393
Cd 0.160 0.675 0.321
Cd 0.840 0.325 0.679